# 1
The following is a PBE-GGA calculation of a relaxed structure of Sr3Ce2HfP6, from Alexandria via LeMat-Bulk.

Lattice parameters (Å, degrees): 7.131 7.131 7.315 99.37 99.37 120.01
Sites, in units of the cell vectors:
Sr 0.168 0.832 0.500
Sr 0.832 0.168 0.500
Sr 0.500 0.500 0.500
Ce 0.334 0.666 0.000
Ce 0.666 0.334 0.000
Hf 0.000 0.000 0.000
P 0.929 0.610 0.786
P 0.753 0.753 0.214
P 0.071 0.390 0.214
P 0.610 0.929 0.786
P 0.247 0.247 0.786
P 0.390 0.071 0.214

- VASP energy (eV per cell) = -74.41
- ΔE_f (eV per formula unit) = -15.079

=====

# 2
The following is a PBE-GGA calculation of a relaxed structure of Li2SnTeSe, from Alexandria via LeMat-Bulk.

Lattice parameters (Å, degrees): 4.741 4.741 5.889 90.00 90.00 90.00
Sites, in units of the cell vectors:
Te 0.500 0.500 0.500
Sn 0.000 0.000 0.500
Se 0.000 0.000 0.000
Li 0.000 0.500 0.000
Li 0.500 0.000 0.000

- VASP energy (eV per cell) = -17.92
- Fermi-level density of states (states/eV/cell) = 0.141
- formation energy from raw total energies (kJ per mole of atoms) = -66.9

=====

# 3
The following is a PBE-GGA calculation of a relaxed structure of Li2Nd4H, from Alexandria via LeMat-Bulk.

Lattice parameters (Å, degrees): 4.902 4.902 8.520 73.28 73.28 90.00
Sites, in units of the cell vectors:
H 0.000 0.000 0.000
Nd 0.820 0.820 0.360
Nd 0.180 0.180 0.640
Nd 0.000 0.500 0.000
Nd 0.500 0.000 0.000
Li 0.626 0.626 0.748
Li 0.374 0.374 0.252

- VASP energy (eV per cell) = -25.59
- Fermi-level density of states (states/eV/cell) = 9.897

=====

# 4
The following is a PBE-GGA calculation of a relaxed structure of Ho7RuSe5, from Alexandria via LeMat-Bulk.

Lattice parameters (Å, degrees): 3.922 6.969 24.445 90.00 90.00 106.34
Sites, in units of the cell vectors:
Ho 0.456 0.913 0.248
Ho 0.544 0.088 0.748
Ho 0.647 0.295 0.039
Ho 0.368 0.737 0.966
Ho 0.353 0.706 0.539
Ho 0.632 0.264 0.466
Ho 0.215 0.430 0.182
Ho 0.806 0.611 0.817
Ho 0.786 0.571 0.682
Ho 0.195 0.390 0.317
Ho 0.922 0.844 0.113
Ho 0.107 0.214 0.871
Ho 0.079 0.157 0.613
Ho 0.894 0.787 0.371
Ru 0.811 0.621 0.259
Ru 0.190 0.380 0.759
Se 0.010 0.020 0.999
Se 0.728 0.457 0.929
Se 0.287 0.574 0.072
Se 0.548 0.096 0.359
Se 0.435 0.870 0.645
Se 0.990 0.981 0.499
Se 0.272 0.544 0.429
Se 0.714 0.427 0.572
Se 0.452 0.905 0.860
Se 0.565 0.131 0.145

- VASP energy (eV per cell) = -154.14
- Fermi-level density of states (states/eV/cell) = 12.177
- formation energy from raw total energies (kJ per mole of atoms) = -136.0

=====

# 5
The following is a PBE-GGA calculation of a relaxed structure of Hf2Zn2Rh, from Alexandria via LeMat-Bulk.

Lattice parameters (Å, degrees): 3.018 3.295 9.204 79.69 90.00 90.00
Sites, in units of the cell vectors:
Hf 0.500 0.405 0.191
Hf 0.500 0.595 0.809
Zn 0.000 0.197 0.606
Zn 0.000 0.803 0.394
Rh 0.000 0.000 0.000

- VASP energy (eV per cell) = -31.32
- relative energy among the computed polymorphs (eV per formula unit) = 0.25
- Fermi-level density of states (states/eV/cell) = 3.818
- ΔE_f (eV per formula unit) = -1.515

=====

# 6
The following is a PBE-GGA calculation of a relaxed structure of Cu2TeF6, from Alexandria via LeMat-Bulk.

Lattice parameters (Å, degrees): 5.394 7.821 7.821 67.96 64.93 64.93
Sites, in units of the cell vectors:
Cu 0.315 0.737 0.714
Cu 0.185 0.286 0.263
Cu 0.685 0.263 0.286
Cu 0.815 0.714 0.737
Te 0.250 0.203 0.797
Te 0.750 0.797 0.203
F 0.465 0.698 0.455
F 0.035 0.545 0.302
F 0.535 0.302 0.545
F 0.965 0.455 0.698
F 0.814 0.880 0.393
F 0.686 0.607 0.120
F 0.186 0.120 0.607
F 0.314 0.393 0.880
F 0.170 0.800 0.956
F 0.330 0.044 0.200
F 0.830 0.200 0.044
F 0.670 0.956 0.800

- VASP energy (eV per cell) = -73.32
- formation energy from raw total energies (kJ per mole of atoms) = -151.1

=====

VASP energy of number 3 (Li2Nd4H)?
-25.59 eV per cell